Entry 1:
# HfMgCuSb (PBE-GGA, relaxed)
data_HfMgCuSb
_cell_length_a 4.826
_cell_length_b 4.826
_cell_length_c 4.826
_cell_angle_alpha 60.00
_cell_angle_beta 60.00
_cell_angle_gamma 60.00
_symmetry_space_group_name_H-M 'P 1'
_symmetry_Int_Tables_number 1
_symmetry_space_group_name_Hall 'P 1'
loop_
_atom_site_label
_atom_site_type_symbol
_atom_site_fract_x
_atom_site_fract_y
_atom_site_fract_z
Hf1 Hf 0.000 0.000 0.000
Mg1 Mg 0.250 0.250 0.250
Cu1 Cu 0.750 0.750 0.750
Sb1 Sb 0.500 0.500 0.500
# - space group = F-43m, No. 216
# - excess energy over the best structure of this formula in the dataset (eV per atom) = 0.076
# - total magnetization (μB per cell) = 0.0

Entry 2:
# HfMgCuSn (PBE-GGA, relaxed)
data_HfMgCuSn
_cell_length_a 4.786
_cell_length_b 4.786
_cell_length_c 4.786
_cell_angle_alpha 60.00
_cell_angle_beta 60.00
_cell_angle_gamma 60.00
_symmetry_space_group_name_H-M 'P 1'
_symmetry_Int_Tables_number 1
_symmetry_space_group_name_Hall 'P 1'
loop_
_atom_site_label
_atom_site_type_symbol
_atom_site_fract_x
_atom_site_fract_y
_atom_site_fract_z
Hf1 Hf 0.000 0.000 0.000
Mg1 Mg 0.750 0.750 0.750
Cu1 Cu 0.500 0.500 0.500
Sn1 Sn 0.250 0.250 0.250
# - space group = F-43m, No. 216
# - excess energy over the best structure of this formula in the dataset (eV per atom) = 0.000
# - total magnetization (μB per cell) = 0.0

Entry 3:
# HfMgCuSn (PBE-GGA, relaxed)
data_HfMgCuSn
_cell_length_a 4.776
_cell_length_b 4.776
_cell_length_c 4.776
_cell_angle_alpha 60.00
_cell_angle_beta 60.00
_cell_angle_gamma 60.00
_symmetry_space_group_name_H-M 'P 1'
_symmetry_Int_Tables_number 1
_symmetry_space_group_name_Hall 'P 1'
loop_
_atom_site_label
_atom_site_type_symbol
_atom_site_fract_x
_atom_site_fract_y
_atom_site_fract_z
Hf1 Hf 0.000 0.000 0.000
Mg1 Mg 0.250 0.250 0.250
Cu1 Cu 0.750 0.750 0.750
Sn1 Sn 0.500 0.500 0.500
# - space group = F-43m, No. 216
# - excess energy over the best structure of this formula in the dataset (eV per atom) = 0.023
# - total magnetization (μB per cell) = 0.0

Entry 4:
# HfMgTlCu (PBE-GGA, relaxed)
data_HfMgTlCu
_cell_length_a 4.817
_cell_length_b 4.817
_cell_length_c 4.817
_cell_angle_alpha 60.00
_cell_angle_beta 60.00
_cell_angle_gamma 60.00
_symmetry_space_group_name_H-M 'P 1'
_symmetry_Int_Tables_number 1
_symmetry_space_group_name_Hall 'P 1'
loop_
_atom_site_label
_atom_site_type_symbol
_atom_site_fract_x
_atom_site_fract_y
_atom_site_fract_z
Hf1 Hf 0.000 0.000 0.000
Mg1 Mg 0.750 0.750 0.750
Tl1 Tl 0.250 0.250 0.250
Cu1 Cu 0.500 0.500 0.500
# - space group = F-43m, No. 216
# - excess energy over the best structure of this formula in the dataset (eV per atom) = 0.028
# - total magnetization (μB per cell) = 0.0